Computed, not measured: an optimized crystal structure of MnAlZnMo at the PBE-GGA level of DFT.

Values from the calculation:
As for the formation energy: -0.041 eV/atom. The space-group type is F-43m. As for the mass density: 7.5 Mg/m³.

Lattice parameters (Å, degrees): 4.248 4.248 4.248 60.00 60.00 60.00
Atoms (fractional coordinates):
1 Zn 0.500 0.500 0.500
2 Mo 0.750 0.750 0.750
3 Al 0.250 0.250 0.250
4 Mn 0.000 0.000 0.000